This record from the Alexandria database describes crystalline Tl2In2Sn at its relaxed geometry. The functional is PBE-GGA.

Unit cell a=7.8286 b=7.8286 c=4.9742 alpha=90.00 beta=90.00 gamma=90.00
Closest atoms and distances in Å follow each position.
Fractional coordinates of all 10 atoms:
Tl (0.1718, 0.3282, 0.0000)  6 In 3.27-3.47
Tl (0.3282, 0.8282, 0.0000)  6 In 3.27-3.47
Tl (0.6718, 0.1718, 0.0000)  6 In 3.27-3.47
Tl (0.8282, 0.6718, 0.0000)  6 In 3.27-3.47
In (0.1360, 0.6360, 0.5000)  1 In 3.01, 2 Sn 3.04, 2 Tl 3.27
In (0.3640, 0.1360, 0.5000)  1 In 3.01, 2 Sn 3.04, 2 Tl 3.27
In (0.6360, 0.8640, 0.5000)  1 In 3.01, 2 Sn 3.04, 2 Tl 3.27
In (0.8640, 0.3640, 0.5000)  1 In 3.01, 2 Sn 3.04, 2 Tl 3.27
Sn (0.0000, 0.0000, 0.5000)  4 In 3.04
Sn (0.5000, 0.5000, 0.5000)  4 In 3.04

Computed properties:
density	8.25	Mg/m³
ΔE_f	0.06	eV/atom
energy above the most stable polymorph in this dataset	0.0331	eV per atom
final energy	-27.793	eV per cell